Compound: Tl2Hg
Source: Alexandria
Functional: meta-GGA SCAN
Structure: single point on PBEsol structure

Geometry as POSCAR:
```
Tl2Hg
1.0
-1.632 2.797 4.467
1.632 -2.797 4.467
1.632 2.797 -4.467
Tl Hg
2 1
Direct
0.183 0.183 0.000 Tl
0.817 0.817 0.000 Tl
0.500 0.000 0.500 Hg
```

Summary:
calculated formation energy	13.7	meV per atom
calculated density	12.402	g cm⁻³
total energy	-212.8	eV/cell
SG	Immm (71)

---

Compound: Li3VOF5
Source: Alexandria
Functional: meta-GGA SCAN
Structure: single point on PBEsol structure

Geometry as POSCAR:
```
Li3VOF5
1.0
4.969 0.000 0.000
0.000 5.185 0.000
-4.958 0.000 7.450
Li V O F
6 2 2 10
Direct
0.000 0.203 0.000 Li
0.000 0.797 0.500 Li
0.258 0.257 0.771 Li
0.258 0.743 0.271 Li
0.485 0.287 0.503 Li
0.485 0.713 0.003 Li
0.743 0.246 0.276 V
0.743 0.754 0.776 V
0.411 0.389 0.228 O
0.411 0.611 0.728 O
0.050 0.478 0.869 F
0.050 0.522 0.369 F
0.149 0.037 0.359 F
0.149 0.963 0.859 F
0.566 0.100 0.718 F
0.566 0.900 0.218 F
0.685 0.316 0.048 F
0.685 0.684 0.548 F
0.881 0.168 0.523 F
0.881 0.832 0.023 F
```

Summary:
calculated density	3.162	g cm⁻³
total energy	-158.5	eV/cell
energy relative to the elements, uncorrected	-3065	meV per atom
SG	Pc (7)

---

Compound: SiPOs2
Source: Alexandria
Functional: meta-GGA SCAN
Structure: single point on PBEsol structure

Geometry as POSCAR:
```
SiPOs2
1.0
3.856 -1.416 0.000
3.856 1.416 0.000
-1.022 0.000 4.794
Si P Os
1 1 2
Direct
0.000 0.000 0.000 Si
0.500 0.500 0.500 P
0.255 0.255 0.743 Os
0.745 0.745 0.257 Os
```

Summary:
calculated density	13.940	g cm⁻³
total energy	-164.4	eV/cell
energy relative to the elements, uncorrected	-66	meV per atom
SG	C2/m (12)

---

Compound: Ta2CuOs
Source: Alexandria
Functional: meta-GGA SCAN
Structure: single point on PBEsol structure

Geometry as POSCAR:
```
Ta2CuOs
1.0
1.418 0.818 8.911
-1.418 0.818 8.911
0.000 -1.637 8.911
Ta Cu Os
2 1 1
Direct
0.250 0.250 0.250 Ta
0.750 0.750 0.750 Ta
0.000 0.000 0.000 Cu
0.500 0.500 0.500 Os
```

Summary:
calculated formation energy	174.4	meV per atom
calculated density	16.482	g cm⁻³
total energy	-219.5	eV/cell
SG	R-3m (166)

---

Compound: CaCoF6
Source: Alexandria
Functional: meta-GGA SCAN
Structure: single point on PBEsol structure

Geometry as POSCAR:
```
CaCoF6
1.0
2.530 1.461 4.644
-2.530 1.461 4.644
0.000 -2.922 4.644
Ca Co F
1 1 6
Direct
0.000 0.000 0.000 Ca
0.500 0.500 0.500 Co
0.132 0.706 0.440 F
0.294 0.560 0.868 F
0.440 0.132 0.706 F
0.560 0.868 0.294 F
0.706 0.440 0.132 F
0.868 0.294 0.560 F
```

Summary:
calculated density	3.434	g cm⁻³
total energy	-70.2	eV/cell
energy relative to the elements, uncorrected	-2744	meV per atom
SG	R-3 (148)

---

Compound: Ca2Si3Ag
Source: Alexandria
Functional: meta-GGA SCAN
Structure: single point on PBEsol structure

Geometry as POSCAR:
```
Ca2Si3Ag
1.0
0.000 4.246 7.142
4.125 0.000 7.142
4.125 4.246 0.000
Ca Si Ag
4 6 2
Direct
0.247 0.753 0.247 Ca
0.250 0.250 0.250 Ca
0.750 0.750 0.750 Ca
0.753 0.247 0.753 Ca
0.163 0.163 0.837 Si
0.164 0.674 0.836 Si
0.326 0.836 0.674 Si
0.674 0.164 0.326 Si
0.836 0.326 0.164 Si
0.837 0.837 0.163 Si
0.333 0.333 0.667 Ag
0.667 0.667 0.333 Ag
```

Summary:
calculated density	3.614	g cm⁻³
total energy	-167.4	eV/cell
energy relative to the elements, uncorrected	-494	meV per atom
SG	Fmmm (69)